[1]
Entry from Alexandria: crystalline LiLuThCd at its relaxed geometry (GGA-PBE).

Structure (CIF):
```
data_LiLuThCd
_chemical_formula_sum 'Li4 Lu4 Th4 Cd4'
_space_group_name_H-M_alt 'F -4 3 m'
_space_group_IT_number 216
_space_group_name_Hall 'F -4 2 3'
_cell_length_a 7.463
_cell_length_b 7.463
_cell_length_c 7.463
_cell_angle_alpha 90.00
_cell_angle_beta 90.00
_cell_angle_gamma 90.00
loop_
_atom_site_label
_atom_site_fract_x
_atom_site_fract_y
_atom_site_fract_z
Li1 0.000 0.000 0.000
Lu1 0.250 0.250 0.750
Th1 0.250 0.250 0.250
Cd1 0.000 0.000 0.500
```



[2]
Entry from Alexandria: crystalline LiYLuCd at its relaxed geometry (GGA-PBE).

Structure (CIF):
```
data_LiYLuCd
_chemical_formula_sum 'Li4 Y4 Lu4 Cd4'
_space_group_name_H-M_alt 'F -4 3 m'
_space_group_IT_number 216
_space_group_name_Hall 'F -4 2 3'
_cell_length_a 7.379
_cell_length_b 7.379
_cell_length_c 7.379
_cell_angle_alpha 90.00
_cell_angle_beta 90.00
_cell_angle_gamma 90.00
loop_
_atom_site_label
_atom_site_fract_x
_atom_site_fract_y
_atom_site_fract_z
Li1 0.000 0.000 0.000
Y1 0.250 0.250 0.250
Lu1 0.250 0.250 0.750
Cd1 0.000 0.000 0.500
```



[3]
Entry from Alexandria: crystalline LiLuZnCd at its relaxed geometry (GGA-PBE).

Structure (CIF):
```
data_LiLuZnCd
_chemical_formula_sum 'Li4 Lu4 Zn4 Cd4'
_space_group_name_H-M_alt 'F -4 3 m'
_space_group_IT_number 216
_space_group_name_Hall 'F -4 2 3'
_cell_length_a 6.703
_cell_length_b 6.703
_cell_length_c 6.703
_cell_angle_alpha 90.00
_cell_angle_beta 90.00
_cell_angle_gamma 90.00
loop_
_atom_site_label
_atom_site_fract_x
_atom_site_fract_y
_atom_site_fract_z
Li1 0.000 0.000 0.000
Lu1 0.250 0.250 0.250
Zn1 0.000 0.000 0.500
Cd1 0.250 0.250 0.750
```



[4]
# LiMg4Cd, relaxed, DFT GGA-PBE
# **Excess energy over the best structure of this formula in the dataset**: 0.0 meV/atom
data_LiMg4Cd
_chemical_formula_sum 'Li4 Mg16 Cd4'
_space_group_name_H-M_alt 'C m c 21'
_space_group_IT_number 36
_space_group_name_Hall 'C 2c -2'
_cell_length_a 4.714
_cell_length_b 11.436
_cell_length_c 9.501
_cell_angle_alpha 90.00
_cell_angle_beta 90.00
_cell_angle_gamma 90.00
loop_
_atom_site_label
_atom_site_fract_x
_atom_site_fract_y
_atom_site_fract_z
Li1 0.000 0.167 0.000
Mg1 0.000 0.006 0.257
Mg2 0.000 0.173 0.515
Mg3 0.000 0.327 0.252
Mg4 0.000 0.492 0.510
Cd1 0.000 0.332 0.767



[5]
# Li8MgCd5, relaxed, DFT GGA-PBE
# **Excess energy over the best structure of this formula in the dataset**: 0.0 meV/atom
data_Li8MgCd5
_chemical_formula_sum 'Li16 Mg2 Cd10'
_space_group_name_H-M_alt 'I -4'
_space_group_IT_number 82
_space_group_name_Hall 'I -4'
_cell_length_a 8.080
_cell_length_b 8.080
_cell_length_c 8.471
_cell_angle_alpha 90.00
_cell_angle_beta 90.00
_cell_angle_gamma 90.00
loop_
_atom_site_label
_atom_site_fract_x
_atom_site_fract_y
_atom_site_fract_z
Li1 0.070 0.169 0.342
Li2 0.096 0.333 0.989
Mg1 0.000 0.000 0.000
Cd1 0.000 0.500 0.250
Cd2 0.127 0.285 0.663



[6]
Entry from Alexandria: crystalline Li2Mg5Cd2 at its relaxed geometry (GGA-PBE).

Structure (CIF):
```
data_Li2Mg5Cd2
_chemical_formula_sum 'Li4 Mg10 Cd4'
_space_group_name_H-M_alt 'C 1 2/m 1'
_space_group_IT_number 12
_space_group_name_Hall '-C 2y'
_cell_length_a 14.549
_cell_length_b 3.027
_cell_length_c 9.242
_cell_angle_alpha 90.00
_cell_angle_beta 104.88
_cell_angle_gamma 90.00
loop_
_atom_site_label
_atom_site_fract_x
_atom_site_fract_y
_atom_site_fract_z
Li1 0.170 0.000 0.387
Mg1 0.000 0.000 0.500
Mg2 0.130 0.000 0.054
Mg3 0.189 0.000 0.748
Cd1 0.005 0.500 0.785
```



Summary of electronic total energy in eV per atom
-3.66, -3.58, -2.40, -1.61, -1.65, -1.55
(order as listed above)
Summary of total magnetic moment in Bohr magnetons per cell
0.01, 0.00, 0.00, 0.00, 0.00, 0.00
(order as listed above)